[1]
{"formula": "TaInCl2", "functional": "meta-GGA SCAN", "state": "single point on PBEsol structure", "lattice": [[4.2158, 0.0000, 0.0000], [0.0000, 4.2158, 0.0000], [0.0000, 0.0000, 4.4265]], "species": ["Ta", "In", "Cl", "Cl"], "frac_coords": [[0.0000, 0.0000, 0.0000], [0.5000, 0.5000, 0.0000], [0.0000, 0.5000, 0.5000], [0.5000, 0.0000, 0.5000]], "spacegroup": "P4/mmm"}


[2]
{"formula": "In3TcCl", "functional": "meta-GGA SCAN", "state": "single point on PBEsol structure", "lattice": [[5.1460, 0.0000, 0.0000], [0.0000, 5.1460, 0.0000], [0.0000, 0.0000, 5.1460]], "species": ["In", "In", "In", "Tc", "Cl"], "frac_coords": [[0.0000, 0.0000, 0.5000], [0.0000, 0.5000, 0.0000], [0.5000, 0.0000, 0.0000], [0.0000, 0.0000, 0.0000], [0.5000, 0.5000, 0.5000]], "spacegroup": "Pm-3m"}


In the order shown, the computed uncorrected formation energy values come out to 0.476 0.092 eV/atom.
In the order shown, the computed DFT total energy values come out to -114.02 -142.74 eV per formula unit.
In the order shown, the computed excess energy over the best structure of this formula in the dataset values come out to 1046 0 meV per atom.